# BeOsRu2, optimized geometry, DFT PBE-GGA
data_BeOsRu2
_symmetry_space_group_name_H-M 'C m m 2'
_symmetry_Int_Tables_number 35
_cell_length_a 2.772
_cell_length_b 4.549
_cell_length_c 8.382
_cell_angle_alpha 90.00
_cell_angle_beta 90.00
_cell_angle_gamma 90.00
loop_
_symmetry_equiv_pos_as_xyz
'x,y,z'
'-x,-y,z'
'-x,y,z'
'x,-y,z'
'x+1/2,y+1/2,z'
'-x+1/2,-y+1/2,z'
'-x+1/2,y+1/2,z'
'x+1/2,-y+1/2,z'
loop_
_atom_site_label
_atom_site_type_symbol
_atom_site_fract_x
_atom_site_fract_y
_atom_site_fract_z
Be1 Be 0.000 0.000 0.000
Os1 Os 0.000 0.500 0.770
Ru1 Ru 0.000 0.000 0.496
Ru2 Ru 0.000 0.500 0.224
# density of states at the Fermi level	9.4	states/eV per cell
# density	12.612	g/cm3
# energy of formation	0.3392	eV/atom
# M_tot	0.987	μB per formula unit

# Cs2RbHf2, optimized geometry, DFT PBE-GGA
data_Cs2RbHf2
_symmetry_space_group_name_H-M 'I 4/m m m'
_symmetry_Int_Tables_number 139
_symmetry_space_group_name_Hall '-I 4 2'
_cell_length_a 5.744
_cell_length_b 5.744
_cell_length_c 17.055
_cell_angle_alpha 90.00
_cell_angle_beta 90.00
_cell_angle_gamma 90.00
loop_
_atom_site_label
_atom_site_type_symbol
_atom_site_fract_x
_atom_site_fract_y
_atom_site_fract_z
Cs1 Cs 0.000 0.500 0.250
Rb1 Rb 0.000 0.000 0.000
Hf1 Hf 0.000 0.000 0.428
# density of states at the Fermi level	1.9	states/eV per cell
# density	4.181	g/cm3
# energy of formation	1.4477	eV/atom
# M_tot	1.000	μB per formula unit

# ScTl2Ag, optimized geometry, DFT PBE-GGA
data_ScTl2Ag
_symmetry_space_group_name_H-M 'C 1 2/m 1'
_symmetry_Int_Tables_number 12
_cell_length_a 9.551
_cell_length_b 3.470
_cell_length_c 5.841
_cell_angle_alpha 90.00
_cell_angle_beta 102.85
_cell_angle_gamma 90.00
loop_
_symmetry_equiv_pos_as_xyz
'x,y,z'
'-x,-y,-z'
'-x,y,-z'
'x,-y,z'
'x+1/2,y+1/2,z'
'-x+1/2,-y+1/2,-z'
'-x+1/2,y+1/2,-z'
'x+1/2,-y+1/2,z'
loop_
_atom_site_label
_atom_site_type_symbol
_atom_site_fract_x
_atom_site_fract_y
_atom_site_fract_z
Sc1 Sc 0.000 0.000 0.000
Tl1 Tl 0.244 0.000 0.742
Ag1 Ag 0.000 0.500 0.500
# density of states at the Fermi level	5.6	states/eV per cell
# density	9.880	g/cm3
# energy of formation	-0.0011	eV/atom
# M_tot	0.000	μB per formula unit

# SrPu2CuO8, optimized geometry, DFT PBE-GGA
data_SrPu2CuO8
_symmetry_space_group_name_H-M 'P 1 2/m 1'
_symmetry_Int_Tables_number 10
_cell_length_a 5.048
_cell_length_b 6.911
_cell_length_c 5.050
_cell_angle_alpha 90.00
_cell_angle_beta 94.80
_cell_angle_gamma 90.00
loop_
_symmetry_equiv_pos_as_xyz
'x,y,z'
'-x,-y,-z'
'-x,y,-z'
'x,-y,z'
loop_
_atom_site_label
_atom_site_type_symbol
_atom_site_fract_x
_atom_site_fract_y
_atom_site_fract_z
Sr1 Sr 0.000 0.000 0.000
Pu1 Pu 0.500 0.258 0.500
Cu1 Cu 0.000 0.500 0.000
O1 O 0.217 0.280 0.219
O2 O 0.325 0.500 0.676
O3 O 0.333 0.000 0.669
# density of states at the Fermi level	6.2	states/eV per cell
# density	7.257	g/cm3
# formation energy without anion corrections	-2248.9	meV/atom
# M_tot	2.964	μB per formula unit

# ZrTaSb2, optimized geometry, DFT PBE-GGA
data_ZrTaSb2
_symmetry_space_group_name_H-M 'A m m 2'
_symmetry_Int_Tables_number 38
_cell_length_a 4.759
_cell_length_b 3.645
_cell_length_c 10.517
_cell_angle_alpha 90.00
_cell_angle_beta 90.00
_cell_angle_gamma 90.00
loop_
_symmetry_equiv_pos_as_xyz
'x,y,z'
'-x,-y,z'
'-x,y,z'
'x,-y,z'
'x,y+1/2,z+1/2'
'-x,-y+1/2,z+1/2'
'-x,y+1/2,z+1/2'
'x,-y+1/2,z+1/2'
loop_
_atom_site_label
_atom_site_type_symbol
_atom_site_fract_x
_atom_site_fract_y
_atom_site_fract_z
Zr1 Zr 0.000 0.000 0.000
Ta1 Ta 0.500 0.000 0.814
Sb1 Sb 0.000 0.000 0.282
Sb2 Sb 0.500 0.000 0.528
# density of states at the Fermi level	3.7	states/eV per cell
# density	9.389	g/cm3
# formation energy without anion corrections	-180.9	meV/atom
# M_tot	0.000	μB per formula unit

# Mg2Si3, optimized geometry, DFT PBE-GGA
data_Mg2Si3
_symmetry_space_group_name_H-M 'P -1'
_symmetry_Int_Tables_number 2
_cell_length_a 5.824
_cell_length_b 6.106
_cell_length_c 11.665
_cell_angle_alpha 82.78
_cell_angle_beta 83.30
_cell_angle_gamma 71.78
loop_
_symmetry_equiv_pos_as_xyz
'x,y,z'
'-x,-y,-z'
loop_
_atom_site_label
_atom_site_type_symbol
_atom_site_fract_x
_atom_site_fract_y
_atom_site_fract_z
Mg1 Mg 0.099 0.425 0.256
Mg2 Mg 0.243 0.522 0.504
Mg3 Mg 0.248 0.875 0.282
Mg4 Mg 0.295 0.426 0.938
Si1 Si 0.039 0.148 0.102
Si2 Si 0.172 0.092 0.477
Si3 Si 0.194 0.125 0.794
Si4 Si 0.322 0.905 0.971
Si5 Si 0.418 0.920 0.636
Si6 Si 0.433 0.536 0.702
# density of states at the Fermi level	3.3	states/eV per cell
# density	2.265	g/cm3
# formation energy without anion corrections	91.2	meV/atom
# M_tot	0.000	μB per formula unit

# RbSeO3, optimized geometry, DFT PBE-GGA
data_RbSeO3
_symmetry_space_group_name_H-M 'P -1'
_symmetry_Int_Tables_number 2
_cell_length_a 5.372
_cell_length_b 5.818
_cell_length_c 7.875
_cell_angle_alpha 109.53
_cell_angle_beta 108.95
_cell_angle_gamma 91.25
loop_
_symmetry_equiv_pos_as_xyz
'x,y,z'
'-x,-y,-z'
loop_
_atom_site_label
_atom_site_type_symbol
_atom_site_fract_x
_atom_site_fract_y
_atom_site_fract_z
Rb1 Rb 0.130 0.376 0.286
Se1 Se 0.448 0.151 0.791
O1 O 0.217 0.832 0.124
O2 O 0.309 0.869 0.626
O3 O 0.363 0.380 0.707
# density of states at the Fermi level	0.7	states/eV per cell
# density	3.250	g/cm3
# formation energy without anion corrections	-1023.4	meV/atom
# M_tot	1.010	μB per formula unit

# Mg2NbSnH, optimized geometry, DFT PBE-GGA
data_Mg2NbSnH
_symmetry_space_group_name_H-M 'P 4/m m m'
_symmetry_Int_Tables_number 123
_symmetry_space_group_name_Hall '-P 4 2'
_cell_length_a 4.403
_cell_length_b 4.403
_cell_length_c 4.136
_cell_angle_alpha 90.00
_cell_angle_beta 90.00
_cell_angle_gamma 90.00
loop_
_atom_site_label
_atom_site_type_symbol
_atom_site_fract_x
_atom_site_fract_y
_atom_site_fract_z
Mg1 Mg 0.000 0.500 0.000
Nb1 Nb 0.000 0.000 0.500
Sn1 Sn 0.500 0.500 0.500
H1 H 0.000 0.000 0.000
# energy	-4.1196	eV per atom
# density of states at the Fermi level	2.4	states/eV per cell
# density	5.411	g/cm3
# M_tot	0.000	μB per formula unit

# Rb3Ho3SiO8, optimized geometry, DFT PBE-GGA
data_Rb3Ho3SiO8
_symmetry_space_group_name_H-M 'R -3 m'
_symmetry_Int_Tables_number 166
_symmetry_space_group_name_Hall '-R 3 2"'
_cell_length_a 6.6411
_cell_length_b 6.6411
_cell_length_c 19.7941
_cell_angle_alpha 90.00
_cell_angle_beta 90.00
_cell_angle_gamma 120.00
loop_
_atom_site_label
_atom_site_type_symbol
_atom_site_fract_x
_atom_site_fract_y
_atom_site_fract_z
Rb1 Rb 0.0000 0.5000 0.0000
Ho1 Ho 0.0000 0.5000 0.5000
Si1 Si 0.0000 0.0000 0.5000
O1 O 0.0000 0.0000 0.2240
O2 O 0.0518 0.5259 0.2183
# density of states at the Fermi level	0.0	states/eV per cell
# density	5.978	g/cm3
# formation energy without anion corrections	-2601.1	meV/atom
# M_tot	0.000	μB per formula unit

# LiTa2Se, optimized geometry, DFT PBE-GGA
data_LiTa2Se
_symmetry_space_group_name_H-M 'I 4/m m m'
_symmetry_Int_Tables_number 139
_symmetry_space_group_name_Hall '-I 4 2'
_cell_length_a 3.865
_cell_length_b 3.865
_cell_length_c 9.119
_cell_angle_alpha 90.00
_cell_angle_beta 90.00
_cell_angle_gamma 90.00
loop_
_atom_site_label
_atom_site_type_symbol
_atom_site_fract_x
_atom_site_fract_y
_atom_site_fract_z
Li1 Li 0.000 0.000 0.000
Ta1 Ta 0.000 0.500 0.250
Se1 Se 0.000 0.000 0.500
# density of states at the Fermi level	7.1	states/eV per cell
# density	10.916	g/cm3
# formation energy without anion corrections	213.2	meV/atom
# M_tot	0.000	μB per formula unit

# LiErZn3, optimized geometry, DFT PBE-GGA
data_LiErZn3
_symmetry_space_group_name_H-M 'C m c m'
_symmetry_Int_Tables_number 63
_symmetry_space_group_name_Hall '-C 2c 2'
_cell_length_a 6.028
_cell_length_b 10.190
_cell_length_c 5.901
_cell_angle_alpha 90.00
_cell_angle_beta 90.00
_cell_angle_gamma 90.00
loop_
_atom_site_label
_atom_site_type_symbol
_atom_site_fract_x
_atom_site_fract_y
_atom_site_fract_z
Li1 Li 0.000 0.102 0.250
Er1 Er 0.000 0.234 0.750
Zn1 Zn 0.000 0.340 0.250
Zn2 Zn 0.219 0.500 0.000
# density of states at the Fermi level	13.3	states/eV per cell
# density	6.789	g/cm3
# energy of formation	-0.1849	eV/atom
# M_tot	0.000	μB per formula unit

# ThP3Os3, optimized geometry, DFT PBE-GGA
data_ThP3Os3
_symmetry_space_group_name_H-M 'P m -3 n'
_symmetry_Int_Tables_number 223
_symmetry_space_group_name_Hall '-P 4n 2 3'
_cell_length_a 6.434
_cell_length_b 6.434
_cell_length_c 6.434
_cell_angle_alpha 90.00
_cell_angle_beta 90.00
_cell_angle_gamma 90.00
loop_
_atom_site_label
_atom_site_type_symbol
_atom_site_fract_x
_atom_site_fract_y
_atom_site_fract_z
Th1 Th 0.000 0.000 0.000
P1 P 0.000 0.250 0.500
Os1 Os 0.000 0.500 0.250
# density of states at the Fermi level	21.7	states/eV per cell
# density	11.170	g/cm3
# energy of formation	-0.1309	eV/atom
# M_tot	0.000	μB per formula unit